Na2VCoO4: relaxed, PBE+U.

Total energy, eV/cell: -47.34

The structure in extended XYZ format:
```
8
Lattice="5.062 0.000 0.000 -1.038 4.977 0.000 -1.999 -2.451 4.034" Properties=species:S:1:pos:R:3 pbc="T T T"
Na 0.000 0.000 0.000
Na -0.551 2.466 2.012
V 2.486 -0.035 2.029
Co 1.983 2.460 0.012
O -1.732 0.700 3.474
O 0.682 -0.018 2.203
O 3.020 0.921 0.561
O 1.867 3.175 1.813
```